# 1
An optimized crystal structure of CeMnGa2, computed with PBE.

Properties
E_form (meV/atom): -265

Geometry as extended XYZ:
```
4
Lattice="-0.301 0.175 3.071 -2.841 -1.199 -0.210 2.857 -6.890 0.673" Properties=species:S:1:pos:R:3 pbc="T T T"
Mn -1.571 -0.512 1.430
Ga 2.282 -5.502 0.538
Ga 0.576 -1.388 0.136
Ce -0.142 -3.957 1.767
```

---

# 2
An optimized crystal structure of IrW2Br, computed with PBE.

Properties
Total DFT energy (no corrections) (eV/atom): -8.372

Geometry as extended XYZ:
```
4
Lattice="3.004 0.000 0.000 0.000 3.004 0.000 0.000 0.000 7.043" Properties=species:S:1:pos:R:3 pbc="T T T"
Ir 1.502 1.502 5.282
Br 1.502 1.502 1.761
W 0.000 0.000 0.003
W 0.000 0.000 3.519
```

---

# 3
An optimized crystal structure of BaTm4Au3O12, computed with PBE.

Properties
Total DFT energy (no corrections) (eV/atom): -6.592

Geometry as extended XYZ:
```
20
Lattice="7.153 0.000 0.000 -2.384 6.743 0.000 -2.384 -3.372 5.840" Properties=species:S:1:pos:R:3 pbc="T T T"
Ba 0.000 0.000 0.000
Tm 3.576 0.000 0.000
Tm 1.192 1.686 2.920
Tm -1.192 3.372 0.000
Tm -1.192 -1.686 2.920
Au -2.384 1.686 2.920
Au 2.384 3.372 0.000
Au 2.384 -1.686 2.920
O -0.106 5.132 0.881
O 2.490 -1.760 4.959
O 1.665 3.880 3.049
O 4.049 4.072 0.955
O 4.874 -0.043 1.836
O -0.719 2.163 1.836
O 2.279 1.568 0.955
O -2.490 3.415 4.004
O 0.719 -0.508 2.791
O -1.665 -0.701 4.885
O 3.103 1.209 4.004
O 0.106 1.804 4.885
```

---

# 4
An optimized crystal structure of PmZr2WC4, computed with PBE.

Properties
E_form (meV/atom): -306

Geometry as extended XYZ:
```
16
Lattice="3.380 0.000 0.000 -1.690 5.942 0.000 0.000 0.000 11.787" Properties=species:S:1:pos:R:3 pbc="T T T"
Pm 0.000 1.264 8.840
Pm 1.690 4.679 2.947
Zr 0.000 4.396 6.316
Zr 1.690 1.546 0.423
Zr 1.690 1.546 5.471
Zr 0.000 4.396 11.364
W 1.690 4.052 8.840
W 0.000 1.890 2.947
C 0.000 3.073 1.385
C 1.690 2.869 7.279
C 1.690 2.869 10.402
C 0.000 3.073 4.508
C 0.000 0.000 5.893
C 0.000 0.000 0.000
C 0.000 5.195 8.840
C 1.690 0.747 2.947
```

---

# 5
An optimized crystal structure of PuHfZnRe, computed with PBE.

Properties
E_form (meV/atom): 18

Geometry as extended XYZ:
```
4
Lattice="-4.140 2.371 0.020 -3.210 -0.776 -3.443 -4.060 -2.298 0.998" Properties=species:S:1:pos:R:3 pbc="T T T"
Re -5.705 -0.352 -1.213
Zn 0.000 0.000 0.000
Hf -2.853 -0.176 -0.606
Pu -8.558 -0.528 -1.819
```

---

# 6
An optimized crystal structure of YPBr2, computed with PBE.

Properties
Total DFT energy (no corrections) (eV/atom): -4.214

Geometry as extended XYZ:
```
4
Lattice="-0.523 -4.852 -1.337 -3.418 -1.307 -3.495 1.520 -1.543 -4.573" Properties=species:S:1:pos:R:3 pbc="T T T"
Y -1.210 -3.851 -4.702
P 0.000 0.000 0.000
Br -0.605 -1.925 -2.351
Br -1.816 -5.776 -7.053
```

---

# 7
An optimized crystal structure of Dy2Er8Tc, computed with PBE.

Properties
E_form (meV/atom): 11

Geometry as extended XYZ:
```
11
Lattice="5.206 0.000 -1.494 -0.073 6.360 -0.253 -0.050 0.094 9.638" Properties=species:S:1:pos:R:3 pbc="T T T"
Dy 3.885 4.297 3.721
Dy 1.197 2.157 4.170
Er 2.146 2.420 7.476
Er 3.351 0.892 1.859
Er 4.338 1.186 5.297
Er 4.898 4.918 7.250
Er 0.744 5.268 2.593
Er 1.731 5.562 6.031
Er 2.936 4.035 0.415
Er 0.184 1.536 0.641
Tc 2.603 0.000 -0.747
```

---

# 8
An optimized crystal structure of Ho4Ru3Rh, computed with PBE.

Properties
E_form (meV/atom): -505

Geometry as extended XYZ:
```
8
Lattice="3.397 0.000 0.000 0.000 4.796 0.000 0.000 0.000 9.569" Properties=species:S:1:pos:R:3 pbc="T T T"
Ru 1.698 0.000 2.376
Ru 1.698 2.398 4.785
Ru 1.698 0.000 7.193
Rh 1.698 2.398 0.000
Ho 0.000 0.000 4.785
Ho 0.000 2.398 7.143
Ho 0.000 0.000 0.000
Ho 0.000 2.398 2.426
```

---

# 9
An optimized crystal structure of Cs2U3TiO12, computed with PBE.

Properties
Total DFT energy (no corrections) (eV/atom): -8.671

Geometry as extended XYZ:
```
18
Lattice="7.575 -0.179 -0.127 3.585 6.675 -0.127 3.585 2.087 6.342" Properties=species:S:1:pos:R:3 pbc="T T T"
Cs 9.256 5.388 3.821
Cs 5.490 3.196 2.267
U 3.788 -0.089 -0.063
U 1.793 3.338 -0.063
U 1.793 1.044 3.171
Ti 0.000 0.000 0.000
O 6.954 4.048 5.875
O 11.598 6.751 1.657
O 9.028 8.211 5.824
O 9.419 2.647 1.878
O 11.598 3.795 5.824
O 6.954 6.883 1.878
O 7.793 4.536 0.213
O 3.148 1.833 4.431
O 5.718 0.373 0.264
O 5.327 5.936 4.211
O 3.148 4.788 0.264
O 7.793 1.700 4.211
```

---

# 10
An optimized crystal structure of V7Co2N2, computed with PBE.

Properties
Total DFT energy (no corrections) (eV/atom): -8.925

Geometry as extended XYZ:
```
11
Lattice="2.688 0.000 0.000 1.344 7.441 0.353 1.344 3.839 6.384" Properties=species:S:1:pos:R:3 pbc="T T T"
V 2.688 1.708 1.766
V 4.032 6.526 5.868
V 2.688 3.913 6.261
V 2.688 4.368 1.842
V 2.688 7.587 3.765
V 2.688 8.915 6.071
V 1.344 3.020 3.774
Co 1.344 6.391 2.111
Co 2.688 5.176 4.145
N 4.032 8.983 4.423
N 1.344 3.127 0.926
```

---

# 11
An optimized crystal structure of ScAlTc2, computed with PBE.

Properties
E_form (meV/atom): -123

Geometry as extended XYZ:
```
4
Lattice="2.802 -0.012 0.000 -0.920 2.647 0.000 0.000 0.000 8.505" Properties=species:S:1:pos:R:3 pbc="T T T"
Sc 0.941 1.318 6.379
Tc 0.000 0.000 0.121
Tc 0.000 0.000 4.131
Al 0.941 1.318 2.126
```

---

# 12
An optimized crystal structure of Tb4TcAu, computed with PBE.

Properties
E_form (meV/atom): -359

Geometry as extended XYZ:
```
12
Lattice="-3.872 1.108 -4.948 4.185 -6.490 -1.728 -4.598 -1.331 6.301" Properties=species:S:1:pos:R:3 pbc="T T T"
Tb -3.982 -4.314 -0.155
Tb 2.284 -6.415 -0.230
Tb -3.438 -1.142 -1.598
Tb 1.110 -4.225 -2.921
Tb -5.396 -2.488 2.546
Tb -0.848 -5.571 1.223
Tb -6.570 -0.298 -0.145
Tb -0.304 -2.399 -0.220
Tc -5.545 -1.067 5.044
Tc 1.259 -5.646 -5.419
Au -1.951 -3.761 -2.485
Au -2.335 -2.952 2.110
```

---

no.,V (Å³/cell)
1,71.5
2,63.5
3,281.7
4,236.8
5,76.8
6,91.6
7,318.8
8,155.9
9,328.9
10,124.0
11,63.0
12,322.1